Density functional theory data (GGA+U) for a geometry-optimized MoSe2BrO structure.

Output
E_tot = -3.7400 eV/atom
Total magnetic moment = 3.7 μB per formula unit
Excess energy over the best structure of this formula in the dataset = 0 meV/atom

```
5
Lattice="-1.807 1.400 -3.477 2.422 -2.509 -2.269 -4.279 -4.503 0.411" Properties=species:S:1:pos:R:3 pbc="T T T"
Mo -1.832 -2.806 -2.667
Se 1.211 -1.254 -1.135
Se -0.904 0.700 -1.738
O 0.000 0.000 0.000
Br -2.139 -2.251 0.206
```